First-principles (PBE) data for a geometry-optimized K2AgSbCl6 structure, as listed in OQMD.

Output
space group: P2_1/c
density: 3.1 g cm⁻³
E_tot: -3.2726 eV per atom
relative energy among the computed polymorphs: 0 meV/atom

Lattice parameters (Å, degrees): 7.289 7.486 12.661 90.00 124.99 90.00
Atoms (fractional coordinates):
K  0.231  0.074  0.250
K  0.231  0.426  0.750
K  0.769  0.574  0.250
K  0.769  0.926  0.750
Ag  0.500  0.000  0.000
Ag  0.500  0.500  0.500
Sb  0.000  0.000  0.500
Sb  0.000  0.500  0.000
Cl  0.142  0.200  0.955
Cl  0.142  0.300  0.455
Cl  0.250  0.691  0.950
Cl  0.250  0.809  0.450
Cl  0.343  0.017  0.748
Cl  0.343  0.483  0.248
Cl  0.657  0.517  0.752
Cl  0.657  0.983  0.252
Cl  0.750  0.191  0.550
Cl  0.750  0.309  0.050
Cl  0.858  0.700  0.545
Cl  0.858  0.800  0.045


First-principles (PBE) data for a geometry-optimized TmInMo structure, as listed in OQMD.

Output
space group: F-43m
density: 7.8 g cm⁻³
E_tot: -4.9515 eV per atom

Lattice parameters (Å, degrees): 4.858 4.858 4.858 60.00 60.00 60.00
Atoms (fractional coordinates):
Tm  0.000  0.000  0.000
In  0.750  0.750  0.750
Mo  0.250  0.250  0.250


First-principles (PBE) data for a geometry-optimized NaScOs2O6 structure, as listed in OQMD.

Output
space group: C2/c
density: 7.4 g cm⁻³
E_tot: -7.4365 eV per atom

Lattice parameters (Å, degrees): 6.751 6.751 5.401 93.08 93.08 81.26
Atoms (fractional coordinates):
Na  0.152  0.848  0.750
Na  0.848  0.152  0.250
Sc  0.406  0.594  0.250
Sc  0.594  0.406  0.750
Os  0.129  0.355  0.701
Os  0.355  0.129  0.201
Os  0.645  0.871  0.799
Os  0.871  0.645  0.299
O  0.116  0.199  0.001
O  0.143  0.557  0.417
O  0.199  0.116  0.501
O  0.301  0.499  0.905
O  0.443  0.857  0.083
O  0.499  0.301  0.405
O  0.501  0.699  0.595
O  0.557  0.143  0.917
O  0.699  0.501  0.095
O  0.801  0.884  0.499
O  0.857  0.443  0.583
O  0.884  0.801  0.999


First-principles (PBE) data for a geometry-optimized TbSnTe2AuSe structure, as listed in OQMD.

Output
space group: Cmcm
density: 8.1 g cm⁻³
E_tot: -4.3342 eV per atom

Lattice parameters (Å, degrees): 7.685 7.685 10.519 90.00 90.00 147.93
Atoms (fractional coordinates):
Tb  0.000  0.000  0.000
Tb  0.000  0.000  0.500
Sn  0.251  0.749  0.750
Sn  0.749  0.251  0.250
Te  0.348  0.652  0.056
Te  0.348  0.652  0.444
Te  0.652  0.348  0.556
Te  0.652  0.348  0.944
Au  0.475  0.525  0.250
Au  0.525  0.475  0.750
Se  0.088  0.912  0.250
Se  0.912  0.088  0.750


First-principles (PBE) data for a geometry-optimized Be2FeB structure, as listed in OQMD.

Output
space group: F-43m
density: 4.6 g cm⁻³
E_tot: -5.6123 eV per atom

Lattice parameters (Å, degrees): 3.509 3.509 3.509 60.00 60.00 60.00
Atoms (fractional coordinates):
Be  0.000  0.000  0.000
Be  0.250  0.250  0.250
Fe  0.500  0.500  0.500
B  0.750  0.750  0.750


First-principles (PBE) data for a geometry-optimized DyBeSn structure, as listed in OQMD.

Output
space group: F-43m
density: 6.2 g cm⁻³
E_tot: -3.7339 eV per atom

Lattice parameters (Å, degrees): 4.803 4.803 4.803 60.00 60.00 60.00
Atoms (fractional coordinates):
Dy  0.000  0.000  0.000
Be  0.750  0.750  0.750
Sn  0.250  0.250  0.250


First-principles (PBE) data for a geometry-optimized Ir2W structure, as listed in OQMD.

Output
space group: Fd-3m
density: 5.9 g cm⁻³
ΔH_f (0 K): 3.192 eV per atom
E_tot: -7.0314 eV per atom

Lattice parameters (Å, degrees): 7.670 7.670 7.670 60.00 60.00 60.00
Atoms (fractional coordinates):
Ir  0.000  0.000  0.000
Ir  0.000  0.000  0.500
Ir  0.000  0.500  0.000
Ir  0.500  0.000  0.000
W  0.125  0.125  0.125
W  0.875  0.875  0.875


First-principles (PBE) data for a geometry-optimized YTlCdSe3 structure, as listed in OQMD.

Output
space group: Pnma
density: 6.7 g cm⁻³
E_tot: -4.3621 eV per atom
relative energy among the computed polymorphs: 80 meV/atom

Lattice parameters (Å, degrees): 8.200 4.483 17.236 90.00 90.00 90.00
Atoms (fractional coordinates):
Y  0.235  0.250  0.039
Y  0.265  0.750  0.539
Y  0.735  0.250  0.461
Y  0.765  0.750  0.961
Tl  0.051  0.250  0.804
Tl  0.449  0.750  0.304
Tl  0.551  0.250  0.696
Tl  0.949  0.750  0.196
Cd  0.093  0.250  0.343
Cd  0.407  0.750  0.843
Cd  0.593  0.250  0.157
Cd  0.907  0.750  0.657
Se  0.003  0.250  0.578
Se  0.126  0.750  0.946
Se  0.239  0.250  0.205
Se  0.261  0.750  0.705
Se  0.374  0.250  0.446
Se  0.497  0.750  0.078
Se  0.503  0.250  0.922
Se  0.626  0.750  0.554
Se  0.739  0.250  0.295
Se  0.761  0.750  0.795
Se  0.874  0.250  0.054
Se  0.997  0.750  0.422


First-principles (PBE) data for a geometry-optimized RbCoBiTe3 structure, as listed in OQMD.

Output
space group: Cmcm
density: 5.7 g cm⁻³
E_tot: -3.8717 eV per atom

Lattice parameters (Å, degrees): 8.257 8.257 12.040 90.00 90.00 148.71
Atoms (fractional coordinates):
Rb  0.239  0.761  0.750
Rb  0.761  0.239  0.250
Co  0.041  0.959  0.250
Co  0.959  0.041  0.750
Bi  0.500  0.500  0.000
Bi  0.500  0.500  0.500
Te  0.130  0.870  0.068
Te  0.130  0.870  0.432
Te  0.448  0.552  0.250
Te  0.552  0.448  0.750
Te  0.870  0.130  0.568
Te  0.870  0.130  0.932


First-principles (PBE) data for a geometry-optimized TmTlO3 structure, as listed in OQMD.

Output
space group: R-3
density: 9.9 g cm⁻³
E_tot: -6.4587 eV per atom

Lattice parameters (Å, degrees): 5.968 5.968 5.968 57.58 57.58 57.58
Atoms (fractional coordinates):
Tm  0.144  0.144  0.144
Tm  0.856  0.856  0.856
Tl  0.362  0.362  0.362
Tl  0.638  0.638  0.638
O  0.044  0.455  0.759
O  0.241  0.956  0.545
O  0.455  0.759  0.044
O  0.545  0.241  0.956
O  0.759  0.044  0.455
O  0.956  0.545  0.241


First-principles (PBE) data for a geometry-optimized LuTlIr2 structure, as listed in OQMD.

Output
space group: F-43m
density: 17.0 g cm⁻³
E_tot: -6.0732 eV per atom

Lattice parameters (Å, degrees): 4.727 4.727 4.727 60.00 60.00 60.00
Atoms (fractional coordinates):
Lu  0.000  0.000  0.000
Tl  0.750  0.750  0.750
Ir  0.250  0.250  0.250
Ir  0.500  0.500  0.500


First-principles (PBE) data for a geometry-optimized BaYMgAu structure, as listed in OQMD.

Output
space group: F-43m
density: 7.1 g cm⁻³
E_tot: -3.4331 eV per atom
relative energy among the computed polymorphs: 84 meV/atom

Lattice parameters (Å, degrees): 5.284 5.284 5.284 60.00 60.00 60.00
Atoms (fractional coordinates):
Ba  0.000  0.000  0.000
Y  0.250  0.250  0.250
Mg  0.750  0.750  0.750
Au  0.500  0.500  0.500